Model A:
Crystalline Pm2TmTe4 at its relaxed geometry. Source: the Alexandria database, functional PBE.

abc: 7.6286 7.6286 15.1977
angles: 90.00 90.00 147.65
With the nearest neighbours (Å) after each atom.
Sites, in units of the cell vectors:
Pm 0.1316 0.8684 0.5709  6 Te 3.06-3.24
Pm 0.1316 0.8684 0.9291  6 Te 3.06-3.24
Pm 0.8684 0.1316 0.0709  6 Te 3.06-3.24
Pm 0.8684 0.1316 0.4291  6 Te 3.06-3.24
Tm 0.3713 0.6287 0.7500  6 Te 3.07-3.13
Tm 0.6287 0.3713 0.2500  6 Te 3.07-3.13
Te 0.0228 0.9772 0.7500  2 Tm 3.07, 2 Pm 3.16
Te 0.2172 0.7828 0.1256  2 Tm 3.13, 3 Pm 3.18-3.24
Te 0.2172 0.7828 0.3744  2 Tm 3.13, 3 Pm 3.18-3.24
Te 0.5000 0.5000 0.0000  4 Pm 3.06
Te 0.5000 0.5000 0.5000  4 Pm 3.06
Te 0.7828 0.2172 0.6256  2 Tm 3.13, 3 Pm 3.18-3.24
Te 0.7828 0.2172 0.8744  2 Tm 3.13, 3 Pm 3.18-3.24
Te 0.9772 0.0228 0.2500  2 Tm 3.07, 2 Pm 3.16

## Properties
**V**: 473.2 Å³ per cell
**N(E_F)**: 5.47 states/eV/cell

Model B:
Crystalline Pm2TmTe4 at its relaxed geometry. Source: the Alexandria database, functional PBE.

abc: 8.4722 8.4722 7.7235
angles: 116.77 116.77 30.04
With the nearest neighbours (Å) after each atom.
Sites, in units of the cell vectors:
Pm 0.2413 0.2413 0.2289  6 Te 3.12-3.23
Pm 0.7587 0.7587 0.7711  6 Te 3.12-3.23
Tm 0.5000 0.5000 0.5000  6 Te 3.03-3.08
Te 0.1238 0.1238 0.4655  2 Tm 3.08, 3 Pm 3.21-3.23
Te 0.3840 0.3840 0.0595  1 Tm 3.03, 3 Pm 3.12-3.17
Te 0.6160 0.6160 0.9405  1 Tm 3.03, 3 Pm 3.12-3.17
Te 0.8762 0.8762 0.5345  2 Tm 3.08, 3 Pm 3.21-3.23

## Properties
**V**: 245.5 Å³ per cell
**N(E_F)**: 3.59 states/eV/cell

So which one is most stable? That would be model B, about 0.045 eV/atom below the next structure.

Model A:
Crystalline PmTm6Te8 at its relaxed geometry. Source: the Alexandria database, functional PBE.

abc: 8.1042 8.1042 8.1042
angles: 69.41 69.41 69.41
With the nearest neighbours (Å) after each atom.
Sites, in units of the cell vectors:
Pm 0.0000 0.0000 0.0000  6 Te 3.14
Tm 0.0762 0.4511 0.6927  7 Te 3.04-3.26
Tm 0.3073 0.9238 0.5489  7 Te 3.04-3.26
Tm 0.4511 0.6927 0.0762  7 Te 3.04-3.26
Tm 0.5489 0.3073 0.9238  7 Te 3.04-3.26
Tm 0.6927 0.0762 0.4511  7 Te 3.04-3.26
Tm 0.9238 0.5489 0.3073  7 Te 3.04-3.26
Te 0.1041 0.8089 0.3732  5 Tm 3.04-3.26, 1 Pm 3.14
Te 0.1911 0.6268 0.8959  5 Tm 3.04-3.26, 1 Pm 3.14
Te 0.3240 0.3240 0.3240  6 Tm 3.14-3.24
Te 0.3732 0.1041 0.8089  5 Tm 3.04-3.26, 1 Pm 3.14
Te 0.6268 0.8959 0.1911  5 Tm 3.04-3.26, 1 Pm 3.14
Te 0.6760 0.6760 0.6760  6 Tm 3.14-3.24
Te 0.8089 0.3732 0.1041  5 Tm 3.04-3.26, 1 Pm 3.14
Te 0.8959 0.1911 0.6268  5 Tm 3.04-3.26, 1 Pm 3.14

## Properties
**V**: 450.3 Å³ per cell
**N(E_F)**: 9.32 states/eV/cell

Model B:
Crystalline PmTm6Te8 at its relaxed geometry. Source: the Alexandria database, functional PBE.

abc: 8.5882 8.5882 8.5882
angles: 60.00 60.00 60.00
With the nearest neighbours (Å) after each atom.
Sites, in units of the cell vectors:
Pm 0.0000 0.0000 0.0000  6 Te 3.18
Tm 0.0000 0.0000 0.5000  6 Te 3.04
Tm 0.0000 0.5000 0.0000  6 Te 3.04
Tm 0.0000 0.5000 0.5000  6 Te 3.04
Tm 0.5000 0.0000 0.0000  6 Te 3.04
Tm 0.5000 0.0000 0.5000  6 Te 3.04
Tm 0.5000 0.5000 0.0000  6 Te 3.04
Te 0.2500 0.2500 0.2500  6 Tm 3.04
Te 0.2620 0.2620 0.7380  4 Tm 3.04, 1 Pm 3.18
Te 0.2620 0.7380 0.2620  4 Tm 3.04, 1 Pm 3.18
Te 0.2620 0.7380 0.7380  4 Tm 3.04, 1 Pm 3.18
Te 0.7380 0.2620 0.2620  4 Tm 3.04, 1 Pm 3.18
Te 0.7380 0.2620 0.7380  4 Tm 3.04, 1 Pm 3.18
Te 0.7380 0.7380 0.2620  4 Tm 3.04, 1 Pm 3.18
Te 0.7500 0.7500 0.7500  6 Tm 3.04

## Properties
**V**: 447.9 Å³ per cell
**N(E_F)**: 6.57 states/eV/cell

So which one is most stable? That would be model B, about 0.138 eV/atom below the next structure.